[1]
MnC3 | PBE | relaxed

## Properties
Total magnetic moment = 0.29 Bohr magnetons per cell
Excess energy over the best structure of this formula in the dataset = 119.5 kJ/mol of formula units
Crystal system = orthorhombic
Calculated formation energy = 1.02 eV/atom
Uncorrected energy = -0.3010 Ha/atom

a = 3.682 Å, b = 12.687 Å, c = 3.453 Å
α = 90.00°, β = 90.00°, γ = 90.00°
Space group Cmcm (No. 63)
Symmetry-distinct sites (fractional):
Mn: 0.000 0.059 0.250 [4 per cell]
C: 0.000 0.152 0.750 [4 per cell]
C: 0.195 0.421 0.250 [8 per cell]

=====

[2]
Th7Se12 | PBE | relaxed

## Properties
Uncorrected formation energy = -1.749 eV per atom
Total magnetic moment = 0.77 Bohr magnetons per cell
Crystal system = hexagonal
Uncorrected energy = -0.2456 Ha/atom

a = 11.7007 Å, b = 11.7007 Å, c = 4.1317 Å
α = 90.00°, β = 90.00°, γ = 120.00°
Space group P-6 (No. 174)
Symmetry-distinct sites (fractional):
Th: 0.0000 0.0000 0.0000 [1 per cell]
Th: 0.1538 0.4340 0.0000 [3 per cell]
Th: 0.4450 0.2878 0.5000 [3 per cell]
Se: 0.0048 0.2159 0.5000 [3 per cell]
Se: 0.1396 0.6164 0.5000 [3 per cell]
Se: 0.2540 0.2478 0.0000 [3 per cell]
Se: 0.5116 0.1380 0.0000 [3 per cell]